VASP calculation (PBE-GGA) on a relaxed structure of Mn2CoHRu.

Cell lengths 3.6157, 3.6157, 3.6941 Å; angles 90.00, 90.00, 90.00 degrees
Last column: nearest neighbours and their distance in Å.
Space group P4/mmm (No. 123)
Asymmetric unit:
Mn: 0.0000 0.5000 0.0000  2 H 1.81
Co: 0.0000 0.0000 0.5000  4 Ru 2.56, 8 Mn 2.58
H: 0.5000 0.5000 0.0000  4 Mn 1.81, 2 Ru 1.85
Ru: 0.5000 0.5000 0.5000  2 H 1.85

VASP calculation (PBE-GGA) on a relaxed structure of MnCoHRu2.

Cell lengths 3.8018, 3.8018, 3.6973 Å; angles 90.00, 90.00, 90.00 degrees
Last column: nearest neighbours and their distance in Å.
Space group P4/mmm (No. 123)
Asymmetric unit:
Mn: 0.0000 0.0000 0.0000  2 H 1.85
Co: 0.5000 0.5000 0.0000  8 Ru 2.65, 4 Mn 2.69
H: 0.0000 0.0000 0.5000  2 Mn 1.85, 4 Ru 1.90
Ru: 0.0000 0.5000 0.5000  2 H 1.90

VASP calculation (PBE-GGA) on a relaxed structure of Mn2CoSbH.

Cell lengths 3.7662, 3.7662, 3.9509 Å; angles 90.00, 90.00, 90.00 degrees
Last column: nearest neighbours and their distance in Å.
Space group P4/mmm (No. 123)
Asymmetric unit:
Mn: 0.0000 0.5000 0.0000  2 H 1.88
Co: 0.0000 0.0000 0.5000  2 H 1.98
Sb: 0.5000 0.5000 0.5000  4 Co 2.66, 8 Mn 2.73
H: 0.0000 0.0000 0.0000  4 Mn 1.88, 2 Co 1.98

| no. | volume (A^3/atom) | E (eV per atom) |
| --- | --- | --- |
| 1 | 9.66 | -7.50 |
| 2 | 10.69 | -7.53 |
| 3 | 11.21 | -6.59 |